# Ho2PuGa (GGA-PBE, optimized geometry)
# magnetization: 6.17 μB per formula unit
# energy of formation from the pure elements: -0.2056 eV/atom
data_Ho2PuGa
_chemical_formula_sum 'Ho2 Pu1 Ga1'
_cell_length_a 3.4553
_cell_length_b 3.4553
_cell_length_c 8.6900
_cell_angle_alpha 90.00
_cell_angle_beta 90.00
_cell_angle_gamma 90.00
_symmetry_space_group_name_H-M 'P 4/m m m'
_symmetry_Int_Tables_number 123
_symmetry_space_group_name_Hall '-P 4 2'
loop_
_atom_site_label
_atom_site_fract_x
_atom_site_fract_y
_atom_site_fract_z
_atom_site_occupancy
Ho1 0.0000 0.0000 0.2140 1
Pu1 0.5000 0.5000 0.5000 1
Ga1 0.5000 0.5000 0.0000 1

# SrLi2Ir3 (GGA-PBE, optimized geometry)
# magnetization: 0.59 μB per formula unit
# energy of formation from the pure elements: -0.1770 eV/atom
data_SrLi2Ir3
_chemical_formula_sum 'Sr2 Li4 Ir6'
_cell_length_a 5.1656
_cell_length_b 9.2608
_cell_length_c 4.3363
_cell_angle_alpha 90.00
_cell_angle_beta 90.00
_cell_angle_gamma 90.00
_symmetry_space_group_name_H-M 'C m m m'
_symmetry_Int_Tables_number 65
_symmetry_space_group_name_Hall '-C 2 2'
loop_
_atom_site_label
_atom_site_fract_x
_atom_site_fract_y
_atom_site_fract_z
_atom_site_occupancy
Sr1 0.0000 0.0000 0.0000 1
Li1 0.0000 0.3330 0.0000 1
Ir1 0.0000 0.5000 0.5000 1
Ir2 0.2500 0.2500 0.5000 1

# Ti5Nb2Fe2Rh (GGA-PBE, optimized geometry)
# magnetization: 0.00 μB per formula unit
# energy of formation from the pure elements: -0.2309 eV/atom
data_Ti5Nb2Fe2Rh
_chemical_formula_sum 'Ti10 Nb4 Fe4 Rh2'
_cell_length_a 10.3035
_cell_length_b 10.3035
_cell_length_c 2.9703
_cell_angle_alpha 90.00
_cell_angle_beta 90.00
_cell_angle_gamma 90.00
_symmetry_space_group_name_H-M 'P 4/m b m'
_symmetry_Int_Tables_number 127
_symmetry_space_group_name_Hall '-P 4 2ab'
loop_
_atom_site_label
_atom_site_fract_x
_atom_site_fract_y
_atom_site_fract_z
_atom_site_occupancy
Ti1 0.0000 0.5000 0.0000 1
Ti2 0.0559 0.2052 0.0000 1
Nb1 0.1768 0.6768 0.5000 1
Fe1 0.1322 0.3678 0.5000 1
Rh1 0.0000 0.0000 0.5000 1

# NdZn5Au2 (GGA-PBE, optimized geometry)
# magnetization: 0.00 μB per formula unit
# energy of formation from the pure elements: -0.3527 eV/atom
data_NdZn5Au2
_chemical_formula_sum 'Nd2 Zn10 Au4'
_cell_length_a 4.0195
_cell_length_b 7.3965
_cell_length_c 10.1602
_cell_angle_alpha 90.00
_cell_angle_beta 90.00
_cell_angle_gamma 90.00
_symmetry_space_group_name_H-M 'I m m m'
_symmetry_Int_Tables_number 71
_symmetry_space_group_name_Hall '-I 2 2'
loop_
_atom_site_label
_atom_site_fract_x
_atom_site_fract_y
_atom_site_fract_z
_atom_site_occupancy
Nd1 0.0000 0.0000 0.0000 1
Zn1 0.0000 0.1865 0.3677 1
Zn2 0.0000 0.5000 0.0000 1
Au1 0.0000 0.5000 0.2563 1

# Li2MgRh (GGA-PBE, optimized geometry)
# magnetization: 0.00 μB per formula unit
# energy of formation from the pure elements: -0.1931 eV/atom
data_Li2MgRh
_chemical_formula_sum 'Li4 Mg2 Rh2'
_cell_length_a 3.8445
_cell_length_b 3.8445
_cell_length_c 8.2150
_cell_angle_alpha 90.00
_cell_angle_beta 90.00
_cell_angle_gamma 90.00
_symmetry_space_group_name_H-M 'I 4/m m m'
_symmetry_Int_Tables_number 139
_symmetry_space_group_name_Hall '-I 4 2'
loop_
_atom_site_label
_atom_site_fract_x
_atom_site_fract_y
_atom_site_fract_z
_atom_site_occupancy
Li1 0.0000 0.5000 0.2500 1
Mg1 0.0000 0.0000 0.0000 1
Rh1 0.0000 0.0000 0.5000 1

# AgH (GGA-PBE, optimized geometry)
# magnetization: 0.00 μB per formula unit
# calculated total energy: -2.89 eV/atom
data_AgH
_chemical_formula_sum 'Ag8 H8'
_cell_length_a 8.0694
_cell_length_b 8.0694
_cell_length_c 3.2774
_cell_angle_alpha 90.00
_cell_angle_beta 90.00
_cell_angle_gamma 90.00
_symmetry_space_group_name_H-M 'I 4/m'
_symmetry_Int_Tables_number 87
_symmetry_space_group_name_Hall '-I 4'
loop_
_atom_site_label
_atom_site_fract_x
_atom_site_fract_y
_atom_site_fract_z
_atom_site_occupancy
Ag1 0.1200 0.3219 0.0000 1
H1 0.1055 0.7456 0.0000 1

# Dy12NiSn6 (GGA-PBE, optimized geometry)
# magnetization: 0.00 μB per formula unit
# energy of formation from the pure elements: -0.3779 eV/atom
data_Dy12NiSn6
_chemical_formula_sum 'Dy36 Ni3 Sn18'
_cell_length_a 13.0963
_cell_length_b 13.0963
_cell_length_c 12.2073
_cell_angle_alpha 90.00
_cell_angle_beta 90.00
_cell_angle_gamma 120.00
_symmetry_space_group_name_H-M 'R -3'
_symmetry_Int_Tables_number 148
_symmetry_space_group_name_Hall '-R 3'
loop_
_atom_site_label
_atom_site_fract_x
_atom_site_fract_y
_atom_site_fract_z
_atom_site_occupancy
Dy1 0.0312 0.8354 0.3926 1
Dy2 0.0620 0.8688 0.8828 1
Ni1 0.0000 0.0000 0.0000 1
Sn1 0.0463 0.7635 0.6426 1

# Cr2CdPt (GGA-PBE, optimized geometry)
# magnetization: 7.36 μB per formula unit
# energy of formation from the pure elements: 0.2311 eV/atom
data_Cr2CdPt
_chemical_formula_sum 'Cr4 Cd2 Pt2'
_cell_length_a 6.2778
_cell_length_b 6.2869
_cell_length_c 3.3363
_cell_angle_alpha 90.00
_cell_angle_beta 90.00
_cell_angle_gamma 90.00
_symmetry_space_group_name_H-M 'C m m m'
_symmetry_Int_Tables_number 65
_symmetry_space_group_name_Hall '-C 2 2'
loop_
_atom_site_label
_atom_site_fract_x
_atom_site_fract_y
_atom_site_fract_z
_atom_site_occupancy
Cr1 0.2500 0.2500 0.0000 1
Cd1 0.0000 0.0000 0.5000 1
Pt1 0.0000 0.5000 0.5000 1

# Sm6TeAs3Se2 (GGA-PBE, optimized geometry)
# formation energy (no corrections): -1.656 eV per atom
# magnetization: 0.00 μB per formula unit
data_Sm6TeAs3Se2
_chemical_formula_sum 'Sm12 Te2 As6 Se4'
_cell_length_a 18.5699
_cell_length_b 4.2284
_cell_length_c 8.5322
_cell_angle_alpha 90.00
_cell_angle_beta 104.03
_cell_angle_gamma 90.00
_symmetry_space_group_name_H-M 'C 1 2/m 1'
_symmetry_Int_Tables_number 12
loop_
_symmetry_equiv_pos_as_xyz
'x,y,z'
'-x,-y,-z'
'-x,y,-z'
'x,-y,z'
'x+1/2,y+1/2,z'
'-x+1/2,-y+1/2,-z'
'-x+1/2,y+1/2,-z'
'x+1/2,-y+1/2,z'
loop_
_atom_site_label
_atom_site_fract_x
_atom_site_fract_y
_atom_site_fract_z
_atom_site_occupancy
Sm1 0.0018 0.0000 0.2313 1
Sm2 0.1645 0.5000 0.0896 1
Sm3 0.1741 0.5000 0.5787 1
Te1 0.0000 0.5000 0.5000 1
As1 0.0000 0.5000 0.0000 1
As2 0.1650 0.0000 0.3318 1
Se1 0.1675 0.0000 0.8336 1

# Ni2OsBr (GGA-PBE, optimized geometry)
# formation energy (no corrections): 0.595 eV per atom
# magnetization: 0.00 μB per formula unit
data_Ni2OsBr
_chemical_formula_sum 'Ni2 Os1 Br1'
_cell_length_a 2.8076
_cell_length_b 2.8076
_cell_length_c 7.5818
_cell_angle_alpha 90.00
_cell_angle_beta 90.00
_cell_angle_gamma 90.00
_symmetry_space_group_name_H-M 'P 4/m m m'
_symmetry_Int_Tables_number 123
_symmetry_space_group_name_Hall '-P 4 2'
loop_
_atom_site_label
_atom_site_fract_x
_atom_site_fract_y
_atom_site_fract_z
_atom_site_occupancy
Ni1 0.0000 0.0000 0.2151 1
Os1 0.5000 0.5000 0.0000 1
Br1 0.5000 0.5000 0.5000 1

# Pr2YTm3Bi6 (GGA-PBE, optimized geometry)
# magnetization: 0.00 μB per formula unit
# energy of formation from the pure elements: -0.8543 eV/atom
data_Pr2YTm3Bi6
_chemical_formula_sum 'Pr4 Y2 Tm6 Bi12'
_cell_length_a 19.6576
_cell_length_b 4.5161
_cell_length_c 9.0216
_cell_angle_alpha 90.00
_cell_angle_beta 103.13
_cell_angle_gamma 90.00
_symmetry_space_group_name_H-M 'C 1 2/m 1'
_symmetry_Int_Tables_number 12
loop_
_symmetry_equiv_pos_as_xyz
'x,y,z'
'-x,-y,-z'
'-x,y,-z'
'x,-y,z'
'x+1/2,y+1/2,z'
'-x+1/2,-y+1/2,-z'
'-x+1/2,y+1/2,-z'
'x+1/2,-y+1/2,z'
loop_
_atom_site_label
_atom_site_fract_x
_atom_site_fract_y
_atom_site_fract_z
_atom_site_occupancy
Pr1 0.1657 0.0000 0.3321 1
Y1 0.0000 0.5000 0.0000 1
Tm1 0.0000 0.5000 0.5000 1
Tm2 0.1681 0.0000 0.8337 1
Bi1 0.0041 0.0000 0.7496 1
Bi2 0.1637 0.5000 0.5909 1
Bi3 0.1668 0.5000 0.0733 1

# InFeAg4 (GGA-PBE, optimized geometry)
# magnetization: 3.47 μB per formula unit
# energy of formation from the pure elements: 0.3949 eV/atom
data_InFeAg4
_chemical_formula_sum 'In4 Fe4 Ag16'
_cell_length_a 7.7381
_cell_length_b 7.7381
_cell_length_c 7.7381
_cell_angle_alpha 90.00
_cell_angle_beta 90.00
_cell_angle_gamma 90.00
_symmetry_space_group_name_H-M 'F -4 3 m'
_symmetry_Int_Tables_number 216
_symmetry_space_group_name_Hall 'F -4 2 3'
loop_
_atom_site_label
_atom_site_fract_x
_atom_site_fract_y
_atom_site_fract_z
_atom_site_occupancy
In1 0.0000 0.0000 0.0000 1
Fe1 0.2500 0.2500 0.2500 1
Ag1 0.1247 0.1247 0.6247 1

The highest magnetization belongs to which entry? Cr2CdPt